The following is a DFT calculation (PBE-GGA) of a relaxed structure of NbGaFeNi.

Cell lengths 4.225, 4.225, 4.225 Å; angles 60.00, 60.00, 60.00 degrees
Fractional coordinates of all 4 atoms:
Fe: 0.750 0.750 0.750
Ga: 0.000 0.000 0.000
Nb: 0.500 0.500 0.500
Ni: 0.250 0.250 0.250

- Polymorph energy (0 for the lowest one): 0.000 eV/atom
- Theoretical density: 8633 kg/m³

---

The following is a DFT calculation (PBE-GGA) of a relaxed structure of NbGaFeOs.

Cell lengths 4.322, 4.322, 4.322 Å; angles 60.00, 60.00, 60.00 degrees
Fractional coordinates of all 4 atoms:
Fe: 0.750 0.750 0.750
Ga: 0.000 0.000 0.000
Nb: 0.500 0.500 0.500
Os: 0.250 0.250 0.250

- Polymorph energy (0 for the lowest one): 0.000 eV/atom
- Theoretical density: 11887 kg/m³

---

The following is a DFT calculation (PBE-GGA) of a relaxed structure of NbGaFeOs.

Cell lengths 4.393, 4.393, 4.393 Å; angles 60.00, 60.00, 60.00 degrees
Fractional coordinates of all 4 atoms:
Fe: 0.750 0.750 0.750
Ga: 0.000 0.000 0.000
Nb: 0.250 0.250 0.250
Os: 0.500 0.500 0.500

- Polymorph energy (0 for the lowest one): 0.275 eV/atom
- Theoretical density: 11324 kg/m³

---

What spin magnetization values result from the calculations? In sequence: 1.8 0.0 3.6 μB per cell.